No. 1
# PBE ScGaFe2, relaxed
# Theoretical density: 6.28 g/cm3
# N(E_F): 0.956 states/eV per atom
# Space-group type: P-1 (2)
# Uncorrected energy: -108.1 eV/cell
# Total magnetic moment: 3.19 μB per formula unit
data_ScGaFe2
_cell_length_a 5.020
_cell_length_b 6.817
_cell_length_c 7.513
_cell_angle_alpha 106.76
_cell_angle_beta 102.73
_cell_angle_gamma 90.88
_space_group_name_H-M_alt 'P 1'
_space_group_IT_number 1
_space_group_name_Hall 'P 1'
loop_
_atom_site_label
_atom_site_type_symbol
_atom_site_fract_x
_atom_site_fract_y
_atom_site_fract_z
Sc1 Sc 0.081 0.207 0.179
Sc2 Sc 0.361 0.777 0.274
Sc3 Sc 0.639 0.223 0.726
Sc4 Sc 0.919 0.793 0.821
Ga1 Ga 0.090 0.388 0.615
Ga2 Ga 0.365 0.832 0.662
Ga3 Ga 0.635 0.168 0.338
Ga4 Ga 0.910 0.612 0.385
Fe1 Fe 0.000 0.000 0.500
Fe2 Fe 0.000 0.500 0.000
Fe3 Fe 0.196 0.182 0.842
Fe4 Fe 0.445 0.605 0.895
Fe5 Fe 0.500 0.000 0.000
Fe6 Fe 0.500 0.500 0.500
Fe7 Fe 0.555 0.395 0.105
Fe8 Fe 0.804 0.818 0.158

=====

No. 2
# PBE Sc3GaFe, relaxed
# Theoretical density: 4.00 g/cm3
# N(E_F): 0.949 states/eV per atom
# Space-group type: Pm-3m (221)
# Uncorrected energy: -30.5 eV/cell
# Distance to the lowest polymorph of the same formula: 0.000 eV per atom
# Total magnetic moment: 0.00 μB per formula unit
data_Sc3GaFe
_cell_length_a 4.764
_cell_length_b 4.764
_cell_length_c 4.764
_cell_angle_alpha 90.00
_cell_angle_beta 90.00
_cell_angle_gamma 90.00
_space_group_name_H-M_alt 'P 1'
_space_group_IT_number 1
_space_group_name_Hall 'P 1'
loop_
_atom_site_label
_atom_site_type_symbol
_atom_site_fract_x
_atom_site_fract_y
_atom_site_fract_z
Sc1 Sc 0.000 0.000 0.500
Sc2 Sc 0.000 0.500 0.000
Sc3 Sc 0.500 0.000 0.000
Ga1 Ga 0.500 0.500 0.500
Fe1 Fe 0.000 0.000 0.000

=====

No. 3
# PBE Sc2Ga4Fe3, relaxed
# Theoretical density: 6.43 g/cm3
# N(E_F): 0.760 states/eV per atom
# Space-group type: Fmmm (69)
# Uncorrected energy: -53.7 eV/cell
# Total magnetic moment: 4.36 μB per formula unit
data_Sc2Ga4Fe3
_cell_length_a 7.628
_cell_length_b 6.753
_cell_length_c 5.047
_cell_angle_alpha 79.11
_cell_angle_beta 60.38
_cell_angle_gamma 40.51
_space_group_name_H-M_alt 'P 1'
_space_group_IT_number 1
_space_group_name_Hall 'P 1'
loop_
_atom_site_label
_atom_site_type_symbol
_atom_site_fract_x
_atom_site_fract_y
_atom_site_fract_z
Sc1 Sc 0.120 0.120 0.880
Sc2 Sc 0.880 0.880 0.120
Ga1 Ga 0.169 0.501 0.499
Ga2 Ga 0.499 0.831 0.169
Ga3 Ga 0.501 0.169 0.831
Ga4 Ga 0.831 0.499 0.501
Fe1 Fe 0.000 0.000 0.500
Fe2 Fe 0.500 0.500 0.000
Fe3 Fe 0.500 0.500 0.500